## Sm2Dy3Er9 (GGA-PBE)

Data for Sm2Dy3Er9 after structural relaxation.

The volume is 449.5 Å³/f.u. The formation energy comes out at 178 meV per atom.

It has space group P-1 (No. 2), with a = 5.351 Å, b = 8.264 Å, c = 10.589 Å, α = 97.61°, β = 100.72° and γ = 98.01°. The distinct sites, in fractional coordinates, are Sm at (0.022, 0.479, 0.240), Dy at (0.209, 0.094, 0.334), Dy at (0.500, 0.500, 0.000), Er at (0.022, 0.810, 0.065), Er at (0.174, 0.788, 0.512), Er at (0.391, 0.197, 0.702), Er at (0.413, 0.868, 0.862) and Er at (0.500, 0.500, 0.500).